# 1
Computed, not measured: ZnPt3 after structural relaxation at the PBEsol level of DFT.

Output
Total energy (eV/atom): -5.9377
Crystal system: cubic
Space group: No. 221
Formation energy (eV per atom): -0.32

Cell lengths 3.8710, 3.8710, 3.8710 Å; angles 90.00, 90.00, 90.00 degrees
Element x y z (fractional)
Zn 0.0000 0.0000 0.0000
Pt 0.0000 0.5000 0.5000
Pt 0.5000 0.0000 0.5000
Pt 0.5000 0.5000 0.0000


# 2
Computed, not measured: Zn2Pt after structural relaxation at the PBEsol level of DFT.

Output
Total energy (eV/atom): -3.8081
Crystal system: orthorhombic
Space group: No. 71
Formation energy (eV per atom): -0.43

Cell lengths 4.6599, 4.6599, 4.6599 Å; angles 145.26, 133.20, 59.58 degrees
Element x y z (fractional)
Zn 0.1652 0.1652 0.0000
Zn 0.8348 0.8348 0.0000
Pt 0.5000 0.5000 0.0000


# 3
Computed, not measured: Zn2Pt after structural relaxation at the PBEsol level of DFT.

Output
Total energy (eV/atom): -3.7582
Crystal system: tetragonal
Space group: No. 139
Formation energy (eV per atom): -0.38

Cell lengths 4.6868, 4.6868, 4.6868 Å; angles 140.14, 140.14, 57.65 degrees
Element x y z (fractional)
Zn 0.1664 0.1664 0.0000
Zn 0.8336 0.8336 0.0000
Pt 0.5000 0.5000 0.0000


# 4
Computed, not measured: Zn2Pt after structural relaxation at the PBEsol level of DFT.

Output
Total energy (eV/atom): -3.7050
Crystal system: tetragonal
Space group: No. 139
Formation energy (eV per atom): -0.33

Cell lengths 5.7696, 5.7696, 5.7696 Å; angles 151.89, 151.89, 40.17 degrees
Element x y z (fractional)
Zn 0.1625 0.1625 0.0000
Zn 0.8375 0.8375 0.0000
Pt 0.5000 0.5000 0.0000


# 5
Computed, not measured: ZnPt3 after structural relaxation at the PBEsol level of DFT.

Output
Total energy (eV/atom): -5.9179
Crystal system: orthorhombic
Space group: No. 62
Formation energy (eV per atom): -0.30

Cell lengths 4.7480, 9.0355, 5.4334 Å; angles 90.00, 90.00, 90.00 degrees
Element x y z (fractional)
Zn 0.0850 0.2500 0.1110
Zn 0.4150 0.7500 0.6110
Zn 0.5850 0.2500 0.3890
Zn 0.9150 0.7500 0.8890
Pt 0.0880 0.2500 0.6049
Pt 0.2482 0.5006 0.8701
Pt 0.2482 0.9994 0.8701
Pt 0.2518 0.0006 0.3701
Pt 0.2518 0.4994 0.3701
Pt 0.4120 0.7500 0.1049
Pt 0.5880 0.2500 0.8951
Pt 0.7482 0.5006 0.6299
Pt 0.7482 0.9994 0.6299
Pt 0.7518 0.0006 0.1299
Pt 0.7518 0.4994 0.1299
Pt 0.9120 0.7500 0.3951


# 6
Computed, not measured: Zn3Pt after structural relaxation at the PBEsol level of DFT.

Output
Total energy (eV/atom): -3.3301
Crystal system: tetragonal
Space group: No. 139
Formation energy (eV per atom): -0.40

Cell lengths 4.7656, 4.7656, 4.7656 Å; angles 134.10, 134.10, 66.93 degrees
Element x y z (fractional)
Zn 0.0000 0.0000 0.0000
Zn 0.2500 0.7500 0.5000
Zn 0.7500 0.2500 0.5000
Pt 0.5000 0.5000 0.0000


# 7
Computed, not measured: Zn3Pt after structural relaxation at the PBEsol level of DFT.

Output
Total energy (eV/atom): -3.2459
Crystal system: orthorhombic
Space group: No. 62
Formation energy (eV per atom): -0.32

Cell lengths 6.0329, 8.2136, 4.9612 Å; angles 90.00, 90.00, 90.00 degrees
Element x y z (fractional)
Zn 0.0131 0.2500 0.1131
Zn 0.1760 0.5290 0.3704
Zn 0.1760 0.9710 0.3704
Zn 0.3240 0.0290 0.8704
Zn 0.3240 0.4710 0.8704
Zn 0.4869 0.7500 0.6131
Zn 0.5131 0.2500 0.3869
Zn 0.6760 0.5290 0.1296
Zn 0.6760 0.9710 0.1296
Zn 0.8240 0.0290 0.6296
Zn 0.8240 0.4710 0.6296
Zn 0.9869 0.7500 0.8869
Pt 0.1354 0.2500 0.6058
Pt 0.3646 0.7500 0.1058
Pt 0.6354 0.2500 0.8942
Pt 0.8646 0.7500 0.3942


# 8
Computed, not measured: ZnPt3 after structural relaxation at the PBEsol level of DFT.

Output
Total energy (eV/atom): -5.8639
Crystal system: orthorhombic
Space group: No. 47
Formation energy (eV per atom): -0.25

Cell lengths 2.7431, 3.8144, 5.5775 Å; angles 90.00, 90.00, 90.00 degrees
Element x y z (fractional)
Zn 0.0000 0.0000 0.0000
Pt 0.0000 0.0000 0.5000
Pt 0.5000 0.5000 0.2434
Pt 0.5000 0.5000 0.7566